## Bi2SbRh (PBE)

Data for a geometry-optimized Bi2SbRh structure.

The calculation puts the electronic total energy at -4.62 eV per atom. The formation energy from raw total energies comes out at 0.186 eV per atom. As for the total magnetization: 0.0 μB per cell.

abc: 6.555 6.555 7.954
angles: 65.67 65.67 90.00
Element x y z (fractional)
Bi 0.375 0.429 0.750
Bi 0.875 0.821 0.750
Sb 0.000 0.000 0.000
Bi 0.179 0.625 0.250
Rh 0.250 0.750 0.500
Bi 0.571 0.125 0.250
Sb 0.750 0.250 0.500
Rh 0.500 0.500 0.000